(1)
{"formula": "MnTlPt2", "functional": "PBE", "state": "relaxed", "lattice": [[-2.014, 2.014, 4.212], [2.014, -2.014, 4.212], [2.014, 2.014, -4.212]], "species": ["Mn", "Tl", "Pt", "Pt"], "frac_coords": [[0.000, 0.000, 0.000], [0.750, 0.250, 0.500], [0.250, 0.750, 0.500], [0.500, 0.500, 0.000]], "e_tot_ev_per_atom": -5.9783, "space_group": "I-4m2, No. 119", "dos_ef_per_ev_cell": 1.34, "ef_ev_per_atom": -0.074}

=====

(2)
{"formula": "Mn4Tl2Pt", "functional": "PBE", "state": "relaxed", "lattice": [[-2.466, 2.466, 6.936], [2.466, -2.466, 6.936], [2.466, 2.466, -6.936]], "species": ["Mn", "Mn", "Mn", "Mn", "Tl", "Tl", "Pt"], "frac_coords": [[0.000, 0.500, 0.500], [0.180, 0.180, 0.000], [0.500, 0.000, 0.500], [0.820, 0.820, 0.000], [0.377, 0.377, 0.000], [0.623, 0.623, 0.000], [0.000, 0.000, 0.000]], "e_tot_ev_per_atom": -6.1281, "space_group": "I4/mmm, No. 139", "dos_ef_per_ev_cell": 5.03, "ef_ev_per_atom": 0.651}

=====

(3)
{"formula": "Mn2TlPt", "functional": "PBE", "state": "relaxed", "lattice": [[3.335, 0.000, 0.000], [0.000, 3.335, 0.000], [0.000, 0.000, 6.118]], "species": ["Mn", "Mn", "Tl", "Pt"], "frac_coords": [[0.000, 0.000, 0.000], [0.500, 0.500, 0.233], [0.500, 0.500, 0.732], [0.000, 0.000, 0.441]], "e_tot_ev_per_atom": -6.5107, "space_group": "P4mm, No. 99", "dos_ef_per_ev_cell": 3.18, "ef_ev_per_atom": 0.176, "relative_energy_mev_per_atom": 83}

=====

(4)
{"formula": "MnTl2Pt", "functional": "PBE", "state": "relaxed", "lattice": [[3.174, -3.181, 0.000], [3.174, 3.181, 0.000], [0.000, 0.000, 3.949]], "species": ["Mn", "Tl", "Tl", "Pt"], "frac_coords": [[0.000, 0.000, 0.000], [0.000, 0.500, 0.500], [0.500, 0.000, 0.500], [0.500, 0.500, 0.000]], "e_tot_ev_per_atom": -4.7072, "space_group": "Cmmm, No. 65", "dos_ef_per_ev_cell": 2.61, "ef_ev_per_atom": 0.279, "relative_energy_mev_per_atom": 221}

=====

(5)
{"formula": "MnTl2Pt", "functional": "PBE", "state": "relaxed", "lattice": [[-1.624, 2.371, 5.532], [1.624, -2.371, 5.532], [1.624, 2.371, -5.532]], "species": ["Mn", "Tl", "Tl", "Pt"], "frac_coords": [[0.000, 0.000, 0.000], [0.443, 0.443, 0.000], [0.735, 0.235, 0.500], [0.182, 0.682, 0.500]], "e_tot_ev_per_atom": -4.8100, "space_group": "Imm2, No. 44", "dos_ef_per_ev_cell": 1.95, "ef_ev_per_atom": 0.176, "relative_energy_mev_per_atom": 118}

=====

(6)
{"formula": "MnTlPt2", "functional": "PBE", "state": "relaxed", "lattice": [[1.504, 0.868, 9.118], [-1.504, 0.868, 9.118], [0.000, -1.736, 9.118]], "species": ["Mn", "Tl", "Pt", "Pt"], "frac_coords": [[0.000, 0.000, 0.000], [0.500, 0.500, 0.500], [0.260, 0.260, 0.260], [0.740, 0.740, 0.740]], "e_tot_ev_per_atom": -5.8924, "space_group": "R-3m, No. 166", "dos_ef_per_ev_cell": 2.19, "ef_ev_per_atom": 0.012}

=====

(7)
{"formula": "MnTlPt2", "functional": "PBE", "state": "relaxed", "lattice": [[3.074, 0.000, 0.000], [0.000, 3.074, 0.000], [0.000, 0.000, 7.365]], "species": ["Mn", "Tl", "Pt", "Pt"], "frac_coords": [[0.000, 0.000, 0.000], [0.000, 0.000, 0.500], [0.500, 0.500, 0.212], [0.500, 0.500, 0.788]], "e_tot_ev_per_atom": -6.0267, "space_group": "P4/mmm, No. 123", "dos_ef_per_ev_cell": 2.46, "ef_ev_per_atom": -0.122}

=====

(8)
{"formula": "MnTl2Pt", "functional": "PBE", "state": "relaxed", "lattice": [[0.000, 3.321, 3.321], [3.321, 0.000, 3.321], [3.321, 3.321, 0.000]], "species": ["Mn", "Tl", "Tl", "Pt"], "frac_coords": [[0.000, 0.000, 0.000], [0.250, 0.250, 0.250], [0.750, 0.750, 0.750], [0.500, 0.500, 0.500]], "e_tot_ev_per_atom": -4.3611, "space_group": "Fm-3m, No. 225", "dos_ef_per_ev_cell": 4.13, "ef_ev_per_atom": 0.625, "relative_energy_mev_per_atom": 567}

=====

(9)
{"formula": "Mn2TlPt", "functional": "PBE", "state": "relaxed", "lattice": [[1.488, 0.859, 9.052], [-1.488, 0.859, 9.052], [0.000, -1.718, 9.052]], "species": ["Mn", "Mn", "Tl", "Pt"], "frac_coords": [[0.000, 0.000, 0.000], [0.257, 0.257, 0.257], [0.501, 0.501, 0.501], [0.742, 0.742, 0.742]], "e_tot_ev_per_atom": -6.3420, "space_group": "R3m, No. 160", "dos_ef_per_ev_cell": 2.04, "ef_ev_per_atom": 0.345, "relative_energy_mev_per_atom": 251}

=====

(10)
{"formula": "Mn3TlPt", "functional": "PBE", "state": "relaxed", "lattice": [[4.942, 0.000, 0.000], [0.000, 4.942, 0.000], [0.000, 0.000, 4.942]], "species": ["Mn", "Mn", "Mn", "Tl", "Pt"], "frac_coords": [[0.000, 0.000, 0.500], [0.000, 0.500, 0.000], [0.500, 0.000, 0.000], [0.500, 0.500, 0.500], [0.000, 0.000, 0.000]], "e_tot_ev_per_atom": -6.5677, "space_group": "Pm-3m, No. 221", "dos_ef_per_ev_cell": 4.10, "ef_ev_per_atom": 0.615, "relative_energy_mev_per_atom": 0}

=====

(11)
{"formula": "MnTlPt2", "functional": "PBE", "state": "relaxed", "lattice": [[1.511, 0.872, 8.924], [-1.511, 0.872, 8.924], [0.000, -1.745, 8.924]], "species": ["Mn", "Tl", "Pt", "Pt"], "frac_coords": [[0.000, 0.000, 0.000], [0.244, 0.244, 0.244], [0.491, 0.491, 0.491], [0.740, 0.740, 0.740]], "e_tot_ev_per_atom": -5.7174, "space_group": "R3m, No. 160", "dos_ef_per_ev_cell": 1.91, "ef_ev_per_atom": 0.187}

=====

(12)
{"formula": "MnTl2Pt", "functional": "PBE", "state": "relaxed", "lattice": [[4.049, -1.882, 0.000], [4.049, 1.882, 0.000], [-1.605, 0.000, 6.228]], "species": ["Mn", "Tl", "Tl", "Pt"], "frac_coords": [[0.000, 0.000, 0.000], [0.538, 0.538, 0.622], [0.757, 0.757, 0.268], [0.285, 0.285, 0.883]], "e_tot_ev_per_atom": -4.8337, "space_group": "Cm, No. 8", "dos_ef_per_ev_cell": 2.10, "ef_ev_per_atom": 0.152, "relative_energy_mev_per_atom": 94}